Density functional theory data (PBE) for a relaxed ErMgTa crystal.

The structure in extended XYZ format:
```
6
Lattice="5.1193 0.0000 0.0000 2.5597 3.8885 0.0000 2.5597 0.0000 7.9801" Properties=species:S:1:pos:R:3 pbc="T T T"
Mg 6.3991 1.9443 3.9901
Mg 3.8395 1.9443 3.9901
Ta 5.1193 1.2717 0.0000
Ta 2.5597 2.6168 0.0000
Er 5.1193 0.0000 6.3488
Er 2.5597 0.0000 1.6313
```

Results
Mass density, Mg/m³: 7.788
D(E_F), states/eV per atom: 0.752
Formation enthalpy at 0 K, eV/atom: 0.54